(a)
{"formula": "NaZrTl", "functional": "PBE", "state": "relaxed", "cell": [[5.241, 0.000, 0.000], [-2.620, 4.539, 0.000], [0.000, 0.000, 6.169]], "species": ["Na", "Na", "Zr", "Zr", "Tl", "Tl"], "fractional_positions": [[0.000, 0.000, 0.000], [0.000, 0.000, 0.500], [0.333, 0.667, 0.250], [0.667, 0.333, 0.750], [0.333, 0.667, 0.750], [0.667, 0.333, 0.250]], "spacegroup": "P6_3/mmc, No. 194"}

---

(b)
{"formula": "NaZrTl", "functional": "PBE", "state": "relaxed", "cell": [[2.893, -1.673, 0.000], [2.893, 1.673, 0.000], [-1.899, 0.000, 16.338]], "species": ["Na", "Na", "Zr", "Zr", "Tl", "Tl"], "fractional_positions": [[0.000, 0.000, 0.000], [0.215, 0.215, 0.655], [0.436, 0.436, 0.323], [0.818, 0.818, 0.471], [0.609, 0.609, 0.829], [0.718, 0.718, 0.163]], "spacegroup": "Cm, No. 8"}

---

(b) (93 meV per atom below the next structure)

---

(a)
{"formula": "NaZrTl", "functional": "PBE", "state": "relaxed", "cell": [[8.740, 0.000, 0.000], [0.000, 3.175, 0.000], [0.000, 0.000, 11.030]], "species": ["Na", "Na", "Na", "Na", "Zr", "Zr", "Zr", "Zr", "Tl", "Tl", "Tl", "Tl"], "fractional_positions": [[0.160, 0.250, 0.083], [0.340, 0.750, 0.583], [0.660, 0.250, 0.417], [0.840, 0.750, 0.917], [0.063, 0.250, 0.393], [0.437, 0.750, 0.893], [0.563, 0.250, 0.107], [0.937, 0.750, 0.607], [0.149, 0.250, 0.791], [0.351, 0.750, 0.291], [0.649, 0.250, 0.709], [0.851, 0.750, 0.209]], "spacegroup": "Pnma, No. 62"}

---

(b)
{"formula": "NaZrTl", "functional": "PBE", "state": "relaxed", "cell": [[3.392, 0.000, 0.000], [1.695, 2.938, 0.000], [0.013, 0.028, 16.065]], "species": ["Na", "Na", "Zr", "Zr", "Tl", "Tl"], "fractional_positions": [[0.166, 0.170, 0.098], [0.834, 0.830, 0.902], [0.167, 0.166, 0.574], [0.833, 0.834, 0.426], [0.500, 0.497, 0.735], [0.500, 0.503, 0.265]], "spacegroup": "P-1, No. 2"}

---

(b) (67 meV per atom below the next structure)

---

(a)
{"formula": "NaYTm2", "functional": "PBE", "state": "relaxed", "cell": [[3.519, 0.000, 0.000], [0.000, 3.519, 0.000], [0.000, 0.000, 10.430]], "species": ["Na", "Y", "Tm", "Tm"], "fractional_positions": [[0.000, 0.000, 0.000], [0.000, 0.000, 0.500], [0.500, 0.500, 0.270], [0.500, 0.500, 0.730]], "spacegroup": "P4/mmm, No. 123"}

---

(b)
{"formula": "NaYTm2", "functional": "PBE", "state": "relaxed", "cell": [[1.736, 1.002, 12.613], [-1.736, 1.002, 12.613], [0.000, -2.005, 12.613]], "species": ["Na", "Y", "Tm", "Tm"], "fractional_positions": [[0.000, 0.000, 0.000], [0.500, 0.500, 0.500], [0.092, 0.092, 0.092], [0.908, 0.908, 0.908]], "spacegroup": "R-3m, No. 166"}

---

(a) (31 meV per atom below the next structure)

---

(a)
{"formula": "NaY2Tm", "functional": "PBE", "state": "relaxed", "cell": [[1.748, 1.009, 12.672], [-1.748, 1.009, 12.672], [0.000, -2.018, 12.672]], "species": ["Na", "Y", "Y", "Tm"], "fractional_positions": [[0.000, 0.000, 0.000], [0.093, 0.093, 0.093], [0.907, 0.907, 0.907], [0.500, 0.500, 0.500]], "spacegroup": "R-3m, No. 166"}

---

(b)
{"formula": "NaY2Tm", "functional": "PBE", "state": "relaxed", "cell": [[3.533, 0.000, 0.000], [0.000, 3.533, 0.000], [0.000, 0.000, 10.493]], "species": ["Na", "Y", "Y", "Tm"], "fractional_positions": [[0.000, 0.000, 0.000], [0.500, 0.500, 0.271], [0.500, 0.500, 0.729], [0.000, 0.000, 0.500]], "spacegroup": "P4/mmm, No. 123"}

---

(b) (35 meV per atom below the next structure)

---

(a)
{"formula": "NaTmZr", "functional": "PBE", "state": "relaxed", "cell": [[5.418, -1.558, 0.000], [5.418, 1.558, 0.000], [-0.050, 0.000, 10.127]], "species": ["Na", "Na", "Tm", "Tm", "Zr", "Zr"], "fractional_positions": [[0.000, 0.000, 0.000], [0.002, 0.002, 0.346], [0.259, 0.259, 0.825], [0.262, 0.262, 0.180], [0.266, 0.266, 0.523], [0.975, 0.975, 0.658]], "spacegroup": "Cm, No. 8"}

---

(b)
{"formula": "NaTmZr", "functional": "PBE", "state": "relaxed", "cell": [[4.463, -2.577, 0.000], [4.463, 2.577, 0.000], [0.000, 0.000, 7.171]], "species": ["Na", "Na", "Tm", "Tm", "Zr", "Zr"], "fractional_positions": [[0.000, 0.000, 0.000], [0.667, 0.667, 0.996], [0.335, 0.335, 0.282], [0.335, 0.335, 0.714], [0.001, 0.001, 0.498], [0.668, 0.668, 0.498]], "spacegroup": "Cm, No. 8"}

---

(b) (317 meV per atom below the next structure)

---

(a)
{"formula": "Na2VW", "functional": "PBE", "state": "relaxed", "cell": [[0.000, 3.470, 3.470], [3.470, 0.000, 3.470], [3.470, 3.470, 0.000]], "species": ["Na", "Na", "V", "W"], "fractional_positions": [[0.250, 0.250, 0.250], [0.750, 0.750, 0.750], [0.000, 0.000, 0.000], [0.500, 0.500, 0.500]], "spacegroup": "Fm-3m, No. 225"}

---

(b)
{"formula": "Na2VW", "functional": "PBE", "state": "relaxed", "cell": [[-4.102, 4.102, 2.467], [4.102, -4.102, 2.467], [4.102, 4.102, -2.467]], "species": ["Na", "Na", "Na", "Na", "V", "V", "W", "W"], "fractional_positions": [[0.113, 0.625, 0.988], [0.375, 0.363, 0.488], [0.637, 0.125, 0.012], [0.875, 0.887, 0.512], [0.000, 0.000, 0.000], [0.750, 0.250, 0.500], [0.250, 0.750, 0.500], [0.500, 0.500, 0.000]], "spacegroup": "I-42d, No. 122"}

---

(b) (157 meV per atom below the next structure)

---

(a)
{"formula": "Na2YV", "functional": "PBE", "state": "relaxed", "cell": [[-2.137, 2.137, 12.371], [2.137, -2.137, 12.371], [2.137, 2.137, -12.371]], "species": ["Na", "Na", "Na", "Na", "Y", "Y", "V", "V"], "fractional_positions": [[0.105, 0.625, 0.980], [0.375, 0.355, 0.480], [0.645, 0.125, 0.020], [0.875, 0.895, 0.520], [0.250, 0.750, 0.500], [0.500, 0.500, 0.000], [0.000, 0.000, 0.000], [0.750, 0.250, 0.500]], "spacegroup": "I-42d, No. 122"}

---

(b)
{"formula": "Na2YV", "functional": "PBE", "state": "relaxed", "cell": [[0.000, 3.782, 3.782], [3.782, 0.000, 3.782], [3.782, 3.782, 0.000]], "species": ["Na", "Na", "Y", "V"], "fractional_positions": [[0.250, 0.250, 0.250], [0.750, 0.750, 0.750], [0.000, 0.000, 0.000], [0.500, 0.500, 0.500]], "spacegroup": "Fm-3m, No. 225"}

---

(a) (129 meV per atom below the next structure)

---

(a)
{"formula": "NaY2V", "functional": "PBE", "state": "relaxed", "cell": [[-4.114, 4.114, 3.272], [4.114, -4.114, 3.272], [4.114, 4.114, -3.272]], "species": ["Na", "Na", "Y", "Y", "Y", "Y", "V", "V"], "fractional_positions": [[0.000, 0.000, 0.000], [0.750, 0.250, 0.500], [0.143, 0.625, 0.018], [0.375, 0.393, 0.518], [0.607, 0.125, 0.982], [0.875, 0.857, 0.482], [0.250, 0.750, 0.500], [0.500, 0.500, 0.000]], "spacegroup": "I-42d, No. 122"}

---

(b)
{"formula": "NaY2V", "functional": "PBE", "state": "relaxed", "cell": [[0.000, 3.761, 3.761], [3.761, 0.000, 3.761], [3.761, 3.761, 0.000]], "species": ["Na", "Y", "Y", "V"], "fractional_positions": [[0.000, 0.000, 0.000], [0.250, 0.250, 0.250], [0.750, 0.750, 0.750], [0.500, 0.500, 0.500]], "spacegroup": "Fm-3m, No. 225"}

---

(b) (304 meV per atom below the next structure)

---

(a)
{"formula": "Na3VZn", "functional": "PBE", "state": "relaxed", "cell": [[5.444, 0.000, 0.000], [0.000, 5.444, 0.000], [0.000, 0.000, 5.444]], "species": ["Na", "Na", "Na", "V", "Zn"], "fractional_positions": [[0.000, 0.000, 0.500], [0.000, 0.500, 0.000], [0.500, 0.000, 0.000], [0.500, 0.500, 0.500], [0.000, 0.000, 0.000]], "spacegroup": "Pm-3m, No. 221"}

---

(b)
{"formula": "Na3VZn", "functional": "PBE", "state": "relaxed", "cell": [[5.818, 0.000, 0.000], [0.000, 5.818, 0.000], [0.000, 0.000, 5.818]], "species": ["Na", "Na", "Na", "V", "Zn"], "fractional_positions": [[0.000, 0.000, 0.500], [0.000, 0.500, 0.000], [0.500, 0.000, 0.000], [0.000, 0.000, 0.000], [0.500, 0.500, 0.500]], "spacegroup": "Pm-3m, No. 221"}

---

(a) (147 meV per atom below the next structure)

---

(a)
{"formula": "NaZrV2", "functional": "PBE", "state": "relaxed", "cell": [[0.000, 3.311, 3.311], [3.311, 0.000, 3.311], [3.311, 3.311, 0.000]], "species": ["Na", "Zr", "V", "V"], "fractional_positions": [[0.000, 0.000, 0.000], [0.500, 0.500, 0.500], [0.250, 0.250, 0.250], [0.750, 0.750, 0.750]], "spacegroup": "Fm-3m, No. 225"}

---

(b)
{"formula": "NaZrV2", "functional": "PBE", "state": "relaxed", "cell": [[-1.942, 1.942, 9.768], [1.942, -1.942, 9.768], [1.942, 1.942, -9.768]], "species": ["Na", "Na", "Zr", "Zr", "V", "V", "V", "V"], "fractional_positions": [[0.000, 0.000, 0.000], [0.750, 0.250, 0.500], [0.250, 0.750, 0.500], [0.500, 0.500, 0.000], [0.150, 0.625, 0.025], [0.375, 0.400, 0.525], [0.600, 0.125, 0.975], [0.875, 0.850, 0.475]], "spacegroup": "I-42d, No. 122"}

---

(a) (112 meV per atom below the next structure)

---

(a)
{"formula": "NaZr2V", "functional": "PBE", "state": "relaxed", "cell": [[-3.762, 3.762, 5.377], [3.762, -3.762, 5.377], [3.762, 3.762, -5.377]], "species": ["Na", "Na", "Zr", "Zr", "Zr", "Zr", "V", "V"], "fractional_positions": [[0.375, 0.625, 0.750], [0.625, 0.375, 0.250], [0.000, 0.000, 0.000], [0.000, 0.000, 0.500], [0.000, 0.500, 0.000], [0.500, 0.000, 0.500], [0.125, 0.875, 0.250], [0.875, 0.125, 0.750]], "spacegroup": "I4_1/amd, No. 141"}

---

(b)
{"formula": "NaZr2V", "functional": "PBE", "state": "relaxed", "cell": [[0.000, 3.471, 3.471], [3.471, 0.000, 3.471], [3.471, 3.471, 0.000]], "species": ["Na", "Zr", "Zr", "V"], "fractional_positions": [[0.000, 0.000, 0.000], [0.250, 0.250, 0.250], [0.750, 0.750, 0.750], [0.500, 0.500, 0.500]], "spacegroup": "Fm-3m, No. 225"}

---

(b) (881 meV per atom below the next structure)